No. 1
VASP calculation (PBE) on a relaxed structure of CuTcF5.

```
data_CuTcF5
_chemical_formula_sum 'Cu1 Tc1 F5'
_space_group_name_H-M_alt 'P 1'
_space_group_IT_number 1
_space_group_name_Hall 'P 1'
_cell_length_a 6.8816
_cell_length_b 5.5454
_cell_length_c 5.5454
_cell_angle_alpha 42.87
_cell_angle_beta 51.65
_cell_angle_gamma 51.65
loop_
_atom_site_label
_atom_site_type_symbol
_atom_site_fract_x
_atom_site_fract_y
_atom_site_fract_z
Tc1 Tc 0.5000 0.3454 0.6546
F1 F 0.7564 0.0821 0.4051
F2 F 0.2436 0.5949 0.9179
F3 F 0.5000 0.8450 0.1550
F4 F 0.2140 0.3477 0.6523
F5 F 0.7860 0.3477 0.6523
Cu1 Cu 0.0000 0.9679 0.0321
```

Values from the calculation:
VASP energy   -5.174 eV per atom
Magnetic moment   3.09 μB per formula unit
DOS(E_F)   2.51 states/eV per cell


No. 2
VASP calculation (PBE) on a relaxed structure of Ca2DyPbSe4.

```
data_Ca2DyPbSe4
_chemical_formula_sum 'Ca2 Dy1 Pb1 Se4'
_space_group_name_H-M_alt 'P 1'
_space_group_IT_number 1
_space_group_name_Hall 'P 1'
_cell_length_a 4.2029
_cell_length_b 7.3790
_cell_length_c 7.3005
_cell_angle_alpha 109.35
_cell_angle_beta 90.00
_cell_angle_gamma 90.00
loop_
_atom_site_label
_atom_site_type_symbol
_atom_site_fract_x
_atom_site_fract_y
_atom_site_fract_z
Se1 Se 0.0000 0.2595 0.7517
Se2 Se 0.5000 0.2634 0.2545
Se3 Se 0.0000 0.7405 0.2483
Se4 Se 0.5000 0.7366 0.7455
Pb1 Pb 0.0000 0.0000 0.0000
Dy1 Dy 0.5000 0.5000 0.0000
Ca1 Ca 0.0000 0.5000 0.5000
Ca2 Ca 0.5000 0.0000 0.5000
```

Values from the calculation:
VASP energy   -4.809 eV per atom
Magnetic moment   0.00 μB per formula unit
DOS(E_F)   3.15 states/eV per cell


No. 3
VASP calculation (PBE) on a relaxed structure of SmPuPdPt.

```
data_SmPuPdPt
_chemical_formula_sum 'Sm1 Pu1 Pd1 Pt1'
_space_group_name_H-M_alt 'P 1'
_space_group_IT_number 1
_space_group_name_Hall 'P 1'
_cell_length_a 3.8881
_cell_length_b 4.3605
_cell_length_c 5.8304
_cell_angle_alpha 90.00
_cell_angle_beta 109.48
_cell_angle_gamma 90.00
loop_
_atom_site_label
_atom_site_type_symbol
_atom_site_fract_x
_atom_site_fract_y
_atom_site_fract_z
Sm1 Sm 0.1399 0.0000 0.2799
Pt1 Pt 0.4096 0.0000 0.8191
Pd1 Pd 0.5866 0.5000 0.1732
Pu1 Pu 0.8639 0.5000 0.7278
```

Values from the calculation:
Magnetic moment   5.60 μB per formula unit
ΔH_f (0 K)   -815 meV/atom
DOS(E_F)   12.53 states/eV per cell


No. 4
VASP calculation (PBE) on a relaxed structure of BaSrSe2.

```
data_BaSrSe2
_chemical_formula_sum 'Ba1 Sr1 Se2'
_space_group_name_H-M_alt 'P 1'
_space_group_IT_number 1
_space_group_name_Hall 'P 1'
_cell_length_a 9.4546
_cell_length_b 9.4546
_cell_length_c 9.4546
_cell_angle_alpha 29.40
_cell_angle_beta 29.40
_cell_angle_gamma 29.40
loop_
_atom_site_label
_atom_site_type_symbol
_atom_site_fract_x
_atom_site_fract_y
_atom_site_fract_z
Se1 Se 0.1095 0.1095 0.1095
Se2 Se 0.8905 0.8905 0.8905
Sr1 Sr 0.5000 0.5000 0.5000
Ba1 Ba 0.0000 0.0000 0.0000
```

Values from the calculation:
VASP energy   -3.925 eV per atom
Magnetic moment   0.00 μB per formula unit
DOS(E_F)   2.81 states/eV per cell


No. 5
VASP calculation (PBE) on a relaxed structure of Y2V2Co15.

```
data_Y2V2Co15
_chemical_formula_sum 'Y2 V2 Co15'
_space_group_name_H-M_alt 'P 1'
_space_group_IT_number 1
_space_group_name_Hall 'P 1'
_cell_length_a 6.2892
_cell_length_b 6.2892
_cell_length_c 6.2892
_cell_angle_alpha 82.87
_cell_angle_beta 82.87
_cell_angle_gamma 82.87
loop_
_atom_site_label
_atom_site_type_symbol
_atom_site_fract_x
_atom_site_fract_y
_atom_site_fract_z
Co1 Co 0.3453 0.8493 0.3453
Co2 Co 0.6547 0.1507 0.6547
Co3 Co 0.0000 0.2923 0.7077
Co4 Co 0.2923 0.7077 0.0000
Co5 Co 0.8493 0.3453 0.3453
Co6 Co 0.3453 0.3453 0.8493
Co7 Co 0.0000 0.5000 0.0000
Co8 Co 0.0000 0.7077 0.2923
Co9 Co 0.2923 0.0000 0.7077
Co10 Co 0.5000 0.0000 0.0000
Co11 Co 0.7077 0.0000 0.2923
Co12 Co 0.6547 0.6547 0.1507
Co13 Co 0.1507 0.6547 0.6547
Co14 Co 0.0000 0.0000 0.5000
Co15 Co 0.7077 0.2923 0.0000
V1 V 0.0959 0.0959 0.0959
V2 V 0.9041 0.9041 0.9041
Y1 Y 0.3475 0.3475 0.3475
Y2 Y 0.6525 0.6525 0.6525
```

Values from the calculation:
Magnetic moment   18.24 μB per formula unit
ΔH_f (0 K)   -119 meV/atom
DOS(E_F)   23.18 states/eV per cell


No. 6
VASP calculation (PBE) on a relaxed structure of Mg2CoAgIr.

```
data_Mg2CoAgIr
_chemical_formula_sum 'Mg2 Co1 Ag1 Ir1'
_space_group_name_H-M_alt 'P 1'
_space_group_IT_number 1
_space_group_name_Hall 'P 1'
_cell_length_a 4.5484
_cell_length_b 4.5874
_cell_length_c 4.5484
_cell_angle_alpha 90.00
_cell_angle_beta 90.00
_cell_angle_gamma 90.00
loop_
_atom_site_label
_atom_site_type_symbol
_atom_site_fract_x
_atom_site_fract_y
_atom_site_fract_z
Mg1 Mg 0.5000 0.0000 0.0000
Mg2 Mg 0.0000 0.0000 0.5000
Co1 Co 0.0000 0.0000 0.0000
Ag1 Ag 0.0000 0.5000 0.0000
Ir1 Ir 0.5000 0.5000 0.5000
```

Values from the calculation:
Magnetic moment   1.16 μB per formula unit
ΔH_f (0 K)   967 meV/atom
DOS(E_F)   4.71 states/eV per cell


No. 7
VASP calculation (PBE) on a relaxed structure of RbPaNb2O8.

```
data_RbPaNb2O8
_chemical_formula_sum 'Rb1 Pa1 Nb2 O8'
_space_group_name_H-M_alt 'P 1'
_space_group_IT_number 1
_space_group_name_Hall 'P 1'
_cell_length_a 6.1564
_cell_length_b 6.1564
_cell_length_c 7.9247
_cell_angle_alpha 90.00
_cell_angle_beta 90.00
_cell_angle_gamma 120.00
loop_
_atom_site_label
_atom_site_type_symbol
_atom_site_fract_x
_atom_site_fract_y
_atom_site_fract_z
Rb1 Rb 0.0000 0.0000 0.5000
O1 O 0.1629 0.8371 0.8347
O2 O 0.6742 0.8371 0.8347
O3 O 0.3333 0.6667 0.5337
O4 O 0.8371 0.1629 0.1653
O5 O 0.1629 0.3258 0.8347
O6 O 0.3258 0.1629 0.1653
O7 O 0.8371 0.6742 0.1653
O8 O 0.6667 0.3333 0.4663
Nb1 Nb 0.3333 0.6667 0.7580
Nb2 Nb 0.6667 0.3333 0.2420
Pa1 Pa 0.0000 0.0000 0.0000
```

Values from the calculation:
VASP energy   -8.637 eV per atom
Magnetic moment   0.00 μB per formula unit
DOS(E_F)   0.00 states/eV per cell


No. 8
VASP calculation (PBE) on a relaxed structure of TiGaCu.

```
data_TiGaCu
_chemical_formula_sum 'Ti2 Ga2 Cu2'
_space_group_name_H-M_alt 'P 1'
_space_group_IT_number 1
_space_group_name_Hall 'P 1'
_cell_length_a 7.8122
_cell_length_b 7.8122
_cell_length_c 4.1827
_cell_angle_alpha 90.00
_cell_angle_beta 90.00
_cell_angle_gamma 158.41
loop_
_atom_site_label
_atom_site_type_symbol
_atom_site_fract_x
_atom_site_fract_y
_atom_site_fract_z
Ga1 Ga 0.6268 0.3732 0.2500
Ga2 Ga 0.3732 0.6268 0.7500
Cu1 Cu 0.5418 0.4582 0.7500
Cu2 Cu 0.4582 0.5418 0.2500
Ti1 Ti 0.8018 0.1982 0.2500
Ti2 Ti 0.1982 0.8018 0.7500
```

Values from the calculation:
Magnetic moment   0.10 μB per formula unit
ΔH_f (0 K)   -161 meV/atom
DOS(E_F)   5.64 states/eV per cell


No. 9
VASP calculation (PBE) on a relaxed structure of TlIr.

```
data_TlIr
_chemical_formula_sum 'Tl1 Ir1'
_space_group_name_H-M_alt 'P 1'
_space_group_IT_number 1
_space_group_name_Hall 'P 1'
_cell_length_a 3.0889
_cell_length_b 3.0889
_cell_length_c 4.5661
_cell_angle_alpha 90.00
_cell_angle_beta 90.00
_cell_angle_gamma 118.51
loop_
_atom_site_label
_atom_site_type_symbol
_atom_site_fract_x
_atom_site_fract_y
_atom_site_fract_z
Tl1 Tl 0.5000 0.5000 0.5000
Ir1 Ir 0.0000 0.0000 0.0000
```

Values from the calculation:
Magnetic moment   0.00 μB per formula unit
ΔH_f (0 K)   703 meV/atom
DOS(E_F)   1.48 states/eV per cell


No. 10
VASP calculation (PBE) on a relaxed structure of BAuF2.

```
data_BAuF2
_chemical_formula_sum 'B2 Au2 F4'
_space_group_name_H-M_alt 'P 1'
_space_group_IT_number 1
_space_group_name_Hall 'P 1'
_cell_length_a 5.3098
_cell_length_b 5.3098
_cell_length_c 5.3138
_cell_angle_alpha 60.03
_cell_angle_beta 60.03
_cell_angle_gamma 90.00
loop_
_atom_site_label
_atom_site_type_symbol
_atom_site_fract_x
_atom_site_fract_y
_atom_site_fract_z
F1 F 0.8750 0.6250 0.7500
F2 F 0.3750 0.6250 0.2500
F3 F 0.3750 0.1250 0.2500
F4 F 0.3750 0.6250 0.7500
B1 B 0.2500 0.7500 0.5000
B2 B 0.5000 0.5000 0.0000
Au1 Au 0.0000 0.0000 0.0000
Au2 Au 0.7500 0.2500 0.5000
```

Values from the calculation:
VASP energy   -3.715 eV per atom
Magnetic moment   0.00 μB per formula unit
DOS(E_F)   0.51 states/eV per cell